First-principles (PBEsol) data for SrPtWSe2 after structural relaxation, as listed in Alexandria via LeMat-Bulk.

Lattice parameters (Å, degrees): 5.3303 5.3303 5.6164 90.00 90.00 90.00
Last column: nearest neighbours and their distance in Å.
Atoms (fractional coordinates):
Sr 0.0000 0.0000 0.0000  4 Se 2.67, 2 W 2.81
Pt 0.5000 0.5000 0.5000  4 W 3.77, 8 Se 3.87
W 0.0000 0.0000 0.5000  2 Sr 2.81
Se 0.0000 0.5000 0.0000  2 Sr 2.67
Se 0.5000 0.0000 0.0000  2 Sr 2.67

Properties
Uncorrected formation energy = 54.07 kcal/mol of atoms
Uncorrected energy = -3.718 eV per atom
Space group = P4/mmm, No. 123
M_tot = 3.58 μB per cell